Material: K3FeS2O8
Method: DFT, PBE with a Hubbard U
State: optimized geometry

Unit cell a=5.697 b=5.697 c=7.430 alpha=90.00 beta=90.00 gamma=120.00
Each line ends with the local moment (μB).
Fractional positions:
O (0.190, 0.380, 0.307)  0.00
O (0.190, 0.810, 0.307)  0.00
O (0.810, 0.190, 0.693)  0.00
O (0.667, 0.333, 0.961)  0.00
O (0.620, 0.810, 0.307)  0.00
O (0.380, 0.190, 0.693)  0.00
O (0.333, 0.667, 0.039)  0.00
O (0.810, 0.620, 0.693)  0.00
Fe (0.000, 0.000, 0.500)  2.89
K (0.333, 0.667, 0.679)  0.00
K (0.667, 0.333, 0.321)  0.00
K (0.000, 0.000, 0.000)  0.00
S (0.667, 0.333, 0.763)  0.01
S (0.333, 0.667, 0.237)  0.01

Summary:
- symmetry = P-3m1, No. 164
- total energy (eV per atom) = -5.64